# PBE Sm4IrAu3, optimized geometry
# crystal system: tetragonal
data_Sm4IrAu3
_chemical_formula_sum 'Sm4 Ir1 Au3'
_cell_length_a 3.6126
_cell_length_b 3.6126
_cell_length_c 14.6951
_cell_angle_alpha 90.00
_cell_angle_beta 90.00
_cell_angle_gamma 90.00
_symmetry_space_group_name_H-M 'P 4/m m m'
_symmetry_Int_Tables_number 123
_symmetry_space_group_name_Hall '-P 4 2'
loop_
_atom_site_label
_atom_site_fract_x
_atom_site_fract_y
_atom_site_fract_z
Sm1 0.0000 0.0000 0.1139
Sm2 0.0000 0.0000 0.3711
Ir1 0.5000 0.5000 0.0000
Au1 0.5000 0.5000 0.2468
Au2 0.5000 0.5000 0.5000



# PBE LiCa2Ge4Pt3, optimized geometry
# crystal system: tetragonal
data_LiCa2Ge4Pt3
_chemical_formula_sum 'Li1 Ca2 Ge4 Pt3'
_cell_length_a 4.2993
_cell_length_b 4.2993
_cell_length_c 10.3744
_cell_angle_alpha 90.00
_cell_angle_beta 90.00
_cell_angle_gamma 90.00
_symmetry_space_group_name_H-M 'P -4 m 2'
_symmetry_Int_Tables_number 115
loop_
_symmetry_equiv_pos_as_xyz
'x,y,z'
'y,-x,-z'
'-x,-y,z'
'-y,x,-z'
'-x,y,z'
'-y,-x,-z'
'x,-y,z'
'y,x,-z'
loop_
_atom_site_label
_atom_site_fract_x
_atom_site_fract_y
_atom_site_fract_z
Li1 0.0000 0.0000 0.0000
Ca1 0.0000 0.5000 0.7519
Ge1 0.0000 0.0000 0.5000
Ge2 0.0000 0.5000 0.1313
Ge3 0.5000 0.5000 0.5000
Pt1 0.0000 0.5000 0.3701
Pt2 0.5000 0.5000 0.0000



| no. | uncorrected energy (eV/cell) | DOS(E_F) (states/eV per atom) |
| --- | --- | --- |
| 1 | -43.7 | 0.67 |
| 2 | -49.8 | 0.45 |